# LaBe2Co, optimized geometry, DFT GGA-PBE
# distance to the lowest polymorph of the same formula: 26 meV per atom
# ΔE_f: -0.118 eV per atom
data_LaBe2Co
_chemical_formula_sum 'La1 Be2 Co1'
_symmetry_space_group_name_H-M 'P 1'
_symmetry_Int_Tables_number 1
_cell_length_a 5.470
_cell_length_b 5.470
_cell_length_c 5.470
_cell_angle_alpha 41.17
_cell_angle_beta 41.17
_cell_angle_gamma 41.17
loop_
_symmetry_equiv_pos_as_xyz
'x,y,z'
loop_
_atom_site_label
_atom_site_type_symbol
_atom_site_fract_x
_atom_site_fract_y
_atom_site_fract_z
La1 La 0.000 0.000 0.000
Be1 Be 0.504 0.504 0.504
Be2 Be 0.815 0.815 0.815
Co1 Co 0.185 0.185 0.185